First-principles (GGA-PBE) data for a geometry-optimized Rb3CoH5 structure, as listed in OQMD.

a b c (Å): 7.912 7.912 7.912
angles (deg): 121.54 121.54 87.35
Positions (direct):
1 Rb 0.180 0.680 0.859
2 Rb 0.250 0.250 0.000
3 Rb 0.320 0.180 0.500
4 Rb 0.680 0.820 0.500
5 Rb 0.750 0.750 0.000
6 Rb 0.820 0.320 0.141
7 Co 0.250 0.750 0.500
8 Co 0.750 0.250 0.500
9 H 0.000 0.000 0.000
10 H 0.045 0.786 0.500
11 H 0.214 0.714 0.259
12 H 0.286 0.545 0.500
13 H 0.455 0.955 0.741
14 H 0.500 0.500 0.000
15 H 0.545 0.045 0.259
16 H 0.714 0.455 0.500
17 H 0.786 0.286 0.741
18 H 0.955 0.214 0.500

Output
SG = I4/mcm
Uncorrected energy = -2.994 eV/atom